A plane-wave DFT calculation with PBE was carried out for a relaxed KMgBr2 crystal.

## Properties
* formation energy from raw total energies: -0.595 eV per atom
* total moment: 3.47 μB per cell
* raw total energy: -33.679 eV for the cell shown

abc: 7.969 7.969 7.969
angles: 90.00 90.00 90.00
Space group F-43m (No. 216)
Symmetry-distinct sites (fractional):
K: 0.000 0.000 0.000
Mg: 0.250 0.250 0.250
Br: 0.000 0.000 0.500
Br: 0.250 0.250 0.750


A plane-wave DFT calculation with PBE was carried out for a relaxed TbSn2Sb crystal.

## Properties
* formation energy from raw total energies: 0.187 eV per atom
* total moment: 0.00 μB per cell
* raw total energy: -48.036 eV for the cell shown

abc: 3.5355 3.5355 33.6024
angles: 90.00 90.00 120.00
Space group R-3m (No. 166, hexagonal axes)
Symmetry-distinct sites (fractional):
Tb: 0.0000 0.0000 0.0000
Sn: 0.0000 0.0000 0.0930
Sb: 0.0000 0.0000 0.5000